ZrBr2Cl, optimized geometry, DFT PBE; crystal system = orthorhombic; volume = 124 Å³/f.u.; size of the total moment = 0.00 μB/f.u.; offset from the most stable computed form = 232 meV/atom; formation energy without anion corrections = -1.187 eV per atom; D(E_F) = 1.49 states/eV per cell
1.0
-8.2372 0.9571 -0.1846
-6.3253 -1.3708 -5.1877
6.6283 -1.8839 4.6171
Br Zr Cl
2 1 1
Cartesian
-12.9640 -0.3683 -4.7825 Br
-8.8797 -0.2523 -3.2758 Br
-4.4451 -0.5668 0.8732 Zr
-3.4892 -1.7308 -1.6283 Cl